[1]
# LaMgZn2

A geometry-optimized LaMgZn2 structure (PBE-GGA, the Alexandria database).

DOS at the Fermi energy (states/eV/f.u.): 3.53
Total energy (eV per atom): -2.467
ΔE_f (eV per atom): -0.200

Lattice parameters (Å, degrees): 3.5249 3.5249 7.1508 90.00 90.00 90.00
Sites, in units of the cell vectors:
1 La 0.0000 0.0000 0.0000
2 Mg 0.0000 0.0000 0.5000
3 Zn 0.5000 0.5000 0.2940
4 Zn 0.5000 0.5000 0.7060

[2]
# Dy9Er4Pu

A geometry-optimized Dy9Er4Pu structure (PBE-GGA, the Alexandria database).

DOS at the Fermi energy (states/eV/f.u.): 23.94
Total energy (eV per atom): -5.105
ΔE_f (eV per atom): 0.181

Lattice parameters (Å, degrees): 9.6491 9.6491 10.9989 90.00 90.00 120.00
Sites, in units of the cell vectors:
1 Dy 0.0738 0.5369 0.2500
2 Dy 0.2094 0.4188 0.5328
3 Dy 0.2094 0.4188 0.9672
4 Dy 0.2094 0.7906 0.5328
5 Dy 0.2094 0.7906 0.9672
6 Dy 0.4188 0.2094 0.0328
7 Dy 0.4188 0.2094 0.4672
8 Dy 0.4631 0.5369 0.2500
9 Dy 0.4631 0.9262 0.2500
10 Dy 0.5369 0.0738 0.7500
11 Dy 0.5369 0.4631 0.7500
12 Dy 0.5812 0.7906 0.5328
13 Dy 0.5812 0.7906 0.9672
14 Dy 0.7906 0.2094 0.0328
15 Dy 0.7906 0.2094 0.4672
16 Dy 0.7906 0.5812 0.0328
17 Dy 0.7906 0.5812 0.4672
18 Dy 0.9262 0.4631 0.7500
19 Er 0.0000 0.0000 0.0000
20 Er 0.0000 0.0000 0.5000
21 Er 0.1120 0.2240 0.2500
22 Er 0.1120 0.8880 0.2500
23 Er 0.2240 0.1120 0.7500
24 Er 0.7760 0.8880 0.2500
25 Er 0.8880 0.1120 0.7500
26 Er 0.8880 0.7760 0.7500
27 Pu 0.3333 0.6667 0.7500
28 Pu 0.6667 0.3333 0.2500

[3]
# Mn2MoPt

A geometry-optimized Mn2MoPt structure (PBE-GGA, the Alexandria database).

DOS at the Fermi energy (states/eV/f.u.): 4.53
Total energy (eV per atom): -8.796
ΔE_f (eV per atom): 0.007

Lattice parameters (Å, degrees): 4.8646 4.8646 4.5317 101.09 101.09 33.14
Sites, in units of the cell vectors:
1 Mn 0.0000 0.0000 0.0000
2 Mn 0.2504 0.2504 0.7520
3 Mo 0.7533 0.7533 0.2510
4 Pt 0.5046 0.5046 0.5068